Entry 1:
# Pr12HgRh6

An optimized crystal structure of Pr12HgRh6 (PBE, Alexandria via LeMat-Bulk).

Lattice parameters (Å, degrees): 8.900 8.900 8.900 109.47 109.47 109.47
Atoms (fractional coordinates):
Pr: 0.305 0.120 0.815
Pr: 0.305 0.490 0.185
Pr: 0.695 0.510 0.815
Pr: 0.695 0.880 0.185
Pr: 0.120 0.815 0.305
Pr: 0.490 0.185 0.305
Pr: 0.510 0.815 0.695
Pr: 0.880 0.185 0.695
Pr: 0.815 0.305 0.120
Pr: 0.185 0.305 0.490
Pr: 0.815 0.695 0.510
Pr: 0.185 0.695 0.880
Hg: 0.000 0.000 0.000
Rh: 0.368 0.500 0.868
Rh: 0.632 0.500 0.132
Rh: 0.500 0.868 0.368
Rh: 0.500 0.132 0.632
Rh: 0.868 0.368 0.500
Rh: 0.132 0.632 0.500

Values from the calculation:
ΔE_f   -0.48 eV per atom
SG   Im-3, No. 204
Total magnetization   0.00 μB per atom
Volume   28.56 A^3/atom

=====

Entry 2:
# KCu3B

An optimized crystal structure of KCu3B (PBE, Alexandria via LeMat-Bulk).

Lattice parameters (Å, degrees): 5.174 5.174 5.174 90.00 90.00 90.00
Atoms (fractional coordinates):
K: 0.000 0.000 0.000
B: 0.500 0.500 0.500
Cu: 0.000 0.500 0.000
Cu: 0.000 0.000 0.500
Cu: 0.500 0.000 0.000

Values from the calculation:
ΔE_f   2.50 eV per atom
SG   Pm-3m, No. 221
Total magnetization   0.00 μB per atom
Volume   27.70 A^3/atom